The following is a GGA-PBE calculation of crystalline MnCrBi3 at its relaxed geometry, from Alexandria.

Summary:
* magnetization: 7.413 μB per cell
* formation enthalpy at 0 K: 716 meV per atom
* electronic total energy: -5.37 eV per atom
* ΔE to the lowest computed polymorph: 0 meV/atom

abc: 5.2657 5.2657 5.2657
angles: 90.00 90.00 90.00
Space group Pm-3m (No. 221)
Inequivalent atoms, fractional coordinates:
Mn: 0.0000 0.0000 0.0000
Cr: 0.5000 0.5000 0.5000
Bi: 0.0000 0.0000 0.5000